Compound: TlOsSN2
Source: the Alexandria database
Functional: PBE
Structure: optimized geometry

Geometry as extended XYZ:
```
5
Lattice="-0.9702 3.7166 0.5040 -3.7338 -1.0063 0.2334 0.4803 -0.5784 5.1904" Properties=species:S:1:pos:R:3 pbc="T T T"
Tl -2.1118 1.0659 2.9639
Os 0.0000 0.0000 0.0000
S 0.2402 -0.2892 2.5952
N -1.8669 -0.5032 0.1167
N -0.4851 1.8583 0.2520
```

## Properties
Formation energy without anion corrections: 0.56 eV/atom
V: 15.7 Å³ per atom
Mass density: 9.59 Mg/m³



Compound: VOsS2N
Source: the Alexandria database
Functional: PBE
Structure: optimized geometry

Geometry as extended XYZ:
```
5
Lattice="4.6443 0.0000 0.0000 0.0000 4.6443 0.0000 0.0000 0.0000 3.5106" Properties=species:S:1:pos:R:3 pbc="T T T"
S 0.0000 2.3221 0.0000
S 2.3221 0.0000 0.0000
N 0.0000 0.0000 1.7553
Os 2.3221 2.3221 1.7553
V 0.0000 0.0000 0.0000
```

## Properties
Formation energy without anion corrections: 0.85 eV/atom
V: 15.1 Å³ per atom
Mass density: 7.00 Mg/m³



Compound: VOsS2N
Source: the Alexandria database
Functional: PBE
Structure: optimized geometry

Geometry as extended XYZ:
```
5
Lattice="4.7840 0.0000 0.0000 0.0000 4.7840 0.0000 0.0000 0.0000 3.6462" Properties=species:S:1:pos:R:3 pbc="T T T"
S 0.0000 2.3920 0.0000
S 2.3920 0.0000 0.0000
N 0.0000 0.0000 1.8231
Os 0.0000 0.0000 0.0000
V 2.3920 2.3920 1.8231
```

## Properties
Formation energy without anion corrections: 0.68 eV/atom
V: 16.7 Å³ per atom
Mass density: 6.35 Mg/m³



Compound: VOsSN2
Source: the Alexandria database
Functional: PBE
Structure: optimized geometry

Geometry as extended XYZ:
```
5
Lattice="3.7678 0.0000 0.0000 0.0000 3.7678 0.0000 0.0000 0.0000 5.0790" Properties=species:S:1:pos:R:3 pbc="T T T"
S 0.0000 0.0000 2.5395
N 0.0000 1.8839 0.0000
N 1.8839 0.0000 0.0000
Os 0.0000 0.0000 0.0000
V 1.8839 1.8839 2.5395
```

## Properties
Formation energy without anion corrections: 0.83 eV/atom
V: 14.4 Å³ per atom
Mass density: 6.94 Mg/m³



Compound: VOsSN2
Source: the Alexandria database
Functional: PBE
Structure: optimized geometry

Geometry as extended XYZ:
```
5
Lattice="-1.7937 -2.0072 2.5247 -2.0806 -1.4873 -2.6606 3.2846 -3.6204 -0.5447" Properties=species:S:1:pos:R:3 pbc="T T T"
S 1.6423 -1.8102 -0.2724
N -1.0403 -0.7437 -1.3303
N -0.8968 -1.0036 1.2624
Os -0.2948 -3.5575 -0.3403
V 0.0000 0.0000 0.0000
```

## Properties
Formation energy without anion corrections: 1.05 eV/atom
V: 13.4 Å³ per atom
Mass density: 7.47 Mg/m³



Compound: OsWSN2
Source: the Alexandria database
Functional: PBE
Structure: optimized geometry

Geometry as extended XYZ:
```
5
Lattice="3.7803 0.0000 0.0000 0.0000 3.7803 0.0000 0.0000 0.0000 5.1025" Properties=species:S:1:pos:R:3 pbc="T T T"
S 0.0000 0.0000 2.5513
Os 0.0000 0.0000 0.0000
W 1.8901 1.8901 2.5513
N 0.0000 1.8901 0.0000
N 1.8901 0.0000 0.0000
```

## Properties
Formation energy without anion corrections: 1.30 eV/atom
V: 14.6 Å³ per atom
Mass density: 9.89 Mg/m³



Compound: OsWSN2
Source: the Alexandria database
Functional: PBE
Structure: optimized geometry

Geometry as extended XYZ:
```
5
Lattice="-2.5446 0.1980 -2.8944 2.8541 -0.5201 -2.5447 -0.6798 -4.9859 0.2565" Properties=species:S:1:pos:R:3 pbc="T T T"
S -0.3399 -2.4930 0.1283
Os -0.1852 -2.6540 -2.5913
W 0.0000 0.0000 0.0000
N 1.4270 -0.2600 -1.2724
N -1.2723 0.0990 -1.4472
```

## Properties
Formation energy without anion corrections: 1.20 eV/atom
V: 15.0 Å³ per atom
Mass density: 9.61 Mg/m³



Compound: YOsSN2
Source: the Alexandria database
Functional: PBE
Structure: optimized geometry

Geometry as extended XYZ:
```
5
Lattice="-2.5598 -2.9849 -1.4301 3.1727 -2.7278 0.0145 -1.2395 -1.4142 5.1702" Properties=species:S:1:pos:R:3 pbc="T T T"
Y 0.0000 0.0000 0.0000
S -0.6197 -0.7071 2.5851
Os -0.3133 -3.5634 1.8773
N 1.5863 -1.3639 0.0072
N -1.2799 -1.4924 -0.7150
```

## Properties
Formation energy without anion corrections: 1.75 eV/atom
V: 19.3 Å³ per atom
Mass density: 5.85 Mg/m³